Record 1
Ac2Pm5PrDy: relaxed, PBE-GGA.

Lattice parameters (Å, degrees): 5.865 10.712 10.990 90.00 90.00 105.89
Positions (direct):
Pr1 0.589 0.177 0.963
Pm1 0.612 0.224 0.520
Ac1 0.883 0.766 0.819
Ac2 0.117 0.234 0.319
Pm2 0.981 0.962 0.522
Ac3 0.114 0.228 0.731
Pm3 0.296 0.592 0.705
Pm4 0.388 0.776 0.020
Pm5 0.019 0.038 0.022
Ac4 0.886 0.772 0.231
Dy1 0.206 0.412 0.010
Dy2 0.794 0.588 0.510
Pm6 0.483 0.965 0.741
Pm7 0.718 0.436 0.812
Pm8 0.517 0.035 0.241
Pr2 0.411 0.823 0.463
Pm9 0.704 0.408 0.205
Pm10 0.282 0.564 0.312

Calculated values
* raw total energy: -40.10 eV/f.u.
* space-group type: Cmc2_1
* E_form: 0.139 eV/atom
* theoretical density: 7.414 Mg/m³



Record 2
AcDyHg6: relaxed, PBE-GGA.

Lattice parameters (Å, degrees): 5.085 6.906 6.906 119.51 90.00 90.00
Positions (direct):
Hg1 0.000 0.056 0.399
Dy1 0.000 0.089 0.911
Hg2 0.000 0.591 0.409
Hg3 0.500 0.413 0.087
Hg4 0.500 0.925 0.075
Hg5 0.000 0.601 0.944
Ac1 0.500 0.411 0.589
Hg6 0.500 0.913 0.587

Calculated values
* raw total energy: -13.36 eV/f.u.
* space-group type: Amm2
* E_form: -0.355 eV/atom
* theoretical density: 12.534 Mg/m³



Record 3
ThInSb2: relaxed, PBE-GGA.

Lattice parameters (Å, degrees): 4.210 5.088 5.088 90.00 90.00 90.00
Positions (direct):
In1 0.500 0.000 0.000
Sb1 0.000 0.000 0.500
Th1 0.500 0.500 0.500
Sb2 0.000 0.500 0.000

Calculated values
* raw total energy: -20.47 eV/f.u.
* relative energy among the computed polymorphs: 0 meV per atom
* space-group type: P4/mmm
* formation energy from raw total energies: -516 meV per atom
* theoretical density: 8.997 Mg/m³